Entry from Alexandria via LeMat-Bulk: a relaxed structure of Nd5BTe4 (GGA-PBE).

a b c (Å): 6.271 7.652 7.652
angles (deg): 80.33 65.81 65.81
Sites, in units of the cell vectors:
Nd  0.910  0.351  0.834
Nd  0.468  0.000  0.000
Te  0.413  0.396  0.780
Nd  0.261  0.834  0.649
Te  0.808  0.780  0.604
Nd  0.094  0.649  0.166
Nd  0.743  0.166  0.351
B  0.031  0.000  0.000
Te  0.193  0.220  0.396
Te  0.589  0.604  0.220

Computed properties:
The calculated volume comes out at 305.6 Å³/cell. The value obtained for the electronic total energy is -5.4763 eV/atom. The value obtained for the magnetization is 0.00 μB per formula unit.